Record 1
A plane-wave DFT calculation with PBE-GGA was carried out for a geometry-optimized KTlZnAu structure.

- formation energy (eV per atom) = -0.1579
- total magnetic moment (μB per cell) = 0.0

Lattice parameters (Å, degrees): 6.867 6.867 6.867 39.58 39.58 39.58
Fractional coordinates of all 4 atoms:
K (0.000, 0.000, 0.000)
Tl (0.199, 0.199, 0.199)
Zn (0.794, 0.794, 0.794)
Au (0.461, 0.461, 0.461)

=====

Record 2
A plane-wave DFT calculation with PBE-GGA was carried out for a geometry-optimized AcLa2DyBi4 structure.

- formation energy (eV per atom) = -0.9707
- total magnetic moment (μB per cell) = 0.0

Lattice parameters (Å, degrees): 8.132 4.704 8.136 90.00 109.47 90.00
Fractional coordinates of all 8 atoms:
Ac (0.000, 0.000, 0.000)
La (0.500, 0.000, 0.500)
La (0.500, 0.500, 0.000)
Dy (0.000, 0.500, 0.500)
Bi (0.245, 0.000, 0.738)
Bi (0.253, 0.500, 0.261)
Bi (0.747, 0.500, 0.739)
Bi (0.755, 0.000, 0.262)

=====

Record 3
A plane-wave DFT calculation with PBE-GGA was carried out for a geometry-optimized Na2MgSn structure.

- formation energy (eV per atom) = 0.0774
- total magnetic moment (μB per cell) = 0.0

Lattice parameters (Å, degrees): 11.957 11.957 11.957 16.14 16.14 16.14
Fractional coordinates of all 4 atoms:
Na (0.091, 0.091, 0.091)
Na (0.909, 0.909, 0.909)
Mg (0.000, 0.000, 0.000)
Sn (0.500, 0.500, 0.500)